[1]
VASP calculation (PBE) on an optimized crystal structure of NdAl8Co2. Values from VASP.

Quantum ESPRESSO input file:
```
&SYSTEM
  ibrav = 0, nat = 11, ntyp = 3
/
ATOMIC_SPECIES
Nd 144.24 Nd.upf
Al 26.98 Al.upf
Co 58.93 Co.upf
CELL_PARAMETERS angstrom
5.607 0.000 0.000
0.000 5.607 0.000
0.000 0.000 7.931
ATOMIC_POSITIONS angstrom
Nd 0.000 0.000 0.000
Al 1.397 1.397 2.606
Al 1.397 1.397 5.325
Al 1.397 4.210 2.606
Al 1.397 4.210 5.325
Al 4.210 1.397 2.606
Al 4.210 1.397 5.325
Al 4.210 4.210 2.606
Al 4.210 4.210 5.325
Co 0.000 2.803 3.965
Co 2.803 0.000 3.965
```

energy relative to the elements = 0.064 eV per atom
uncorrected energy = -48.215 eV per cell
symmetry = P4/mmm (123)
energy above the lowest structure with this stoichiometry = 535 meV per atom

---

[2]
VASP calculation (PBE) on an optimized crystal structure of V3GeS. Values from VASP.

Quantum ESPRESSO input file:
```
&SYSTEM
  ibrav = 0, nat = 5, ntyp = 3
/
ATOMIC_SPECIES
V 50.94 V.upf
Ge 72.64 Ge.upf
S 32.06 S.upf
CELL_PARAMETERS angstrom
4.268 0.000 0.000
0.000 4.268 0.000
0.000 0.000 4.268
ATOMIC_POSITIONS angstrom
V 0.000 0.000 2.134
V 0.000 2.134 0.000
V 2.134 0.000 0.000
Ge 2.134 2.134 2.134
S 0.000 0.000 0.000
```

uncorrected energy = -35.733 eV per cell
symmetry = Pm-3m (221)
energy above the lowest structure with this stoichiometry = 0 meV per atom
ΔE_f (raw) = 0.07 eV per atom